No. 1
## Cd3H28C12N30O2 (PBE)

Data for a relaxed structure of Cd3H28C12N30O2.

Geometry as CIF:
```
data_Cd3H28C12N30O2
_chemical_formula_sum 'Cd6 H56 C24 N60 O4'
_cell_length_a 12.6651
_cell_length_b 15.6705
_cell_length_c 8.3654
_cell_angle_alpha 90.00
_cell_angle_beta 117.54
_cell_angle_gamma 90.00
_symmetry_space_group_name_H-M 'C 1 2 1'
_symmetry_Int_Tables_number 5
loop_
_symmetry_equiv_pos_as_xyz
'x,y,z'
'-x,y,-z'
'x+1/2,y+1/2,z'
'-x+1/2,y+1/2,-z'
loop_
_atom_site_label
_atom_site_type_symbol
_atom_site_fract_x
_atom_site_fract_y
_atom_site_fract_z
Cd1 Cd 0.0000 0.0000 0.0000
Cd2 Cd 0.0020 0.5956 0.2609
H1 H 0.9997 0.4056 0.1398
H2 H 0.0085 0.7774 0.6455
H3 H 0.0364 0.0243 0.7160
H4 H 0.0519 0.3083 0.2272
H5 H 0.0594 0.8748 0.7328
H6 H 0.1059 0.0226 0.3741
H7 H 0.1372 0.2408 0.5574
H8 H 0.1579 0.2717 0.9682
H9 H 0.1826 0.9024 0.4994
H10 H 0.2025 0.4629 0.4843
H11 H 0.2141 0.7209 0.0047
H12 H 0.2358 0.9447 0.1621
H13 H 0.2438 0.5499 0.8150
H14 H 0.2498 0.1736 0.6952
C1 C 0.0011 0.8001 0.8731
C2 C 0.0034 0.3835 0.6288
C3 C 0.2465 0.4840 0.2879
C4 C 0.2483 0.0026 0.9572
C5 C 0.2476 0.7088 0.7914
C6 C 0.2485 0.7028 0.5391
N1 N 0.0000 0.3291 0.5000
N2 N 0.0000 0.8545 0.0000
N3 N 0.0007 0.4663 0.5845
N4 N 0.0022 0.7184 0.9180
N5 N 0.0027 0.8279 0.2867
N6 N 0.0111 0.3554 0.7913
N7 N 0.1460 0.5255 0.1807
N8 N 0.1499 0.5371 0.0192
N9 N 0.1554 0.6573 0.6880
N10 N 0.1559 0.6544 0.5193
N11 N 0.1821 0.9691 0.7902
N12 N 0.1918 0.2386 0.2946
N13 N 0.2112 0.0015 0.0937
N14 N 0.2191 0.2243 0.0302
N15 N 0.2218 0.2185 0.5968
N16 N 0.2232 0.9611 0.5346
O1 O 0.0326 0.0499 0.2750
```


No. 2
## CdRe2H26C6S6N12O9 (PBE)

Data for a relaxed structure of CdRe2H26C6S6N12O9.

Geometry as CIF:
```
data_CdRe2H26C6S6N12O9
_chemical_formula_sum 'Cd4 Re8 H104 C24 S24 N48 O36'
_cell_length_a 15.9379
_cell_length_b 14.5940
_cell_length_c 14.7493
_cell_angle_alpha 90.00
_cell_angle_beta 113.05
_cell_angle_gamma 90.00
_symmetry_space_group_name_H-M 'C 1 2/c 1'
_symmetry_Int_Tables_number 15
loop_
_symmetry_equiv_pos_as_xyz
'x,y,z'
'-x,-y,-z'
'-x,y,-z+1/2'
'x,-y,z+1/2'
'x+1/2,y+1/2,z'
'-x+1/2,-y+1/2,-z'
'-x+1/2,y+1/2,-z+1/2'
'x+1/2,-y+1/2,z+1/2'
loop_
_atom_site_label
_atom_site_type_symbol
_atom_site_fract_x
_atom_site_fract_y
_atom_site_fract_z
Cd1 Cd 0.2500 0.2500 0.0000
Re1 Re 0.1672 0.1657 0.3626
H1 H 0.0048 0.1245 0.0542
H2 H 0.0093 0.3828 0.3964
H3 H 0.0539 0.3365 0.2769
H4 H 0.0565 0.3317 0.8679
H5 H 0.0592 0.3414 0.6524
H6 H 0.0642 0.0975 0.7032
H7 H 0.0972 0.0896 0.6028
H8 H 0.0970 0.3756 0.5150
H9 H 0.1206 0.1377 0.0778
H10 H 0.1908 0.4644 0.9698
H11 H 0.1978 0.4192 0.2605
H12 H 0.2045 0.4284 0.4227
H13 H 0.2086 0.4803 0.7024
C1 C 0.0338 0.3572 0.9922
C2 C 0.0383 0.1170 0.9329
C3 C 0.1999 0.4607 0.8353
S1 S 0.1220 0.1264 0.8876
S2 S 0.1476 0.3560 0.0699
S3 S 0.1925 0.3435 0.8211
N1 N 0.0077 0.3426 0.8956
N2 N 0.0287 0.3746 0.4708
N3 N 0.0479 0.1005 0.6291
N4 N 0.0563 0.1236 0.0291
N5 N 0.1967 0.4976 0.4142
N6 N 0.2093 0.4881 0.2642
O1 O 0.0000 0.3767 0.2500
O2 O 0.1009 0.1196 0.2482
O3 O 0.1191 0.1378 0.4477
O4 O 0.1691 0.2864 0.3516
O5 O 0.2218 0.3805 0.5964
```


No. 3
## CdH2C4S6N4 (PBE)

Data for a relaxed structure of CdH2C4S6N4.

Geometry as CIF:
```
data_CdH2C4S6N4
_chemical_formula_sum 'Cd4 H8 C16 S24 N16'
_cell_length_a 13.3986
_cell_length_b 12.1106
_cell_length_c 8.2087
_cell_angle_alpha 90.00
_cell_angle_beta 90.00
_cell_angle_gamma 90.00
_symmetry_space_group_name_H-M 'P b c n'
_symmetry_Int_Tables_number 60
loop_
_symmetry_equiv_pos_as_xyz
'x,y,z'
'-x,-y,-z'
'-x+1/2,-y+1/2,z+1/2'
'x+1/2,y+1/2,-z+1/2'
'x+1/2,-y+1/2,-z'
'-x+1/2,y+1/2,z'
'-x,y,-z+1/2'
'x,-y,z+1/2'
loop_
_atom_site_label
_atom_site_type_symbol
_atom_site_fract_x
_atom_site_fract_y
_atom_site_fract_z
Cd1 Cd 0.0000 0.1507 0.2500
H1 H 0.1659 0.1533 0.6065
C1 C 0.0997 0.3078 0.5680
C2 C 0.2440 0.1125 0.1784
S1 S 0.0170 0.2780 0.9983
S2 S 0.1416 0.4404 0.6079
S3 S 0.1542 0.0256 0.2550
N1 N 0.1740 0.2380 0.6071
N2 N 0.2391 0.2211 0.1684
```


| no. | volume (Å³/atom) | E (eV per atom) |
| --- | --- | --- |
| 1 | 9.8 | -6.406 |
| 2 | 12.7 | -5.985 |
| 3 | 19.6 | -5.945 |